--- w ---
DFT (PBE) results for a relaxed structure of CuIr2Rh.

## Properties
Density of states at the Fermi level in states/eV/cell: 4.2
Total moment in μB/cell: 0.000

a b c (Å): 2.7238 3.7899 5.3949
angles (deg): 90.00 90.00 90.00
With the nearest neighbours (Å) after each atom.
Space group Pmmm (No. 47)
Symmetry-distinct sites (fractional):
Cu 0.0000 0.0000 0.0000 [1 per cell]  8 Ir 2.68, 2 Rh 2.70, 2 Cu 2.72
Ir 0.5000 0.5000 0.2459 [2 per cell]  4 Ir 2.65-2.74, 4 Cu 2.68, 4 Rh 2.71
Rh 0.0000 0.0000 0.5000 [1 per cell]  2 Cu 2.70, 8 Ir 2.71, 2 Rh 2.72



--- x ---
DFT (PBE) results for a relaxed structure of CuIr2Rh.

## Properties
Density of states at the Fermi level in states/eV/cell: 8.2
Total moment in μB/cell: 0.000

a b c (Å): 8.9096 2.7279 4.6633
angles (deg): 90.00 100.17 90.00
With the nearest neighbours (Å) after each atom.
Space group C2/m (No. 12)
Symmetry-distinct sites (fractional):
Cu 0.0000 0.0000 0.0000 [2 per cell]  6 Ir 2.67-2.70, 4 Rh 2.70, 2 Cu 2.73
Ir 0.2486 0.0000 0.7533 [4 per cell]  3 Cu 2.67-2.70, 6 Ir 2.67-2.73, 3 Rh 2.69-2.71
Rh 0.0000 0.5000 0.5000 [2 per cell]  6 Ir 2.69-2.71, 4 Cu 2.70, 2 Rh 2.73



--- y ---
DFT (PBE) results for a relaxed structure of CuIr2Rh.

## Properties
Density of states at the Fermi level in states/eV/cell: 25.0
Total moment in μB/cell: 1.616

a b c (Å): 6.1057 6.1057 6.1057
angles (deg): 90.00 90.00 90.00
With the nearest neighbours (Å) after each atom.
Space group F-43m (No. 216)
Symmetry-distinct sites (fractional):
Cu 0.0000 0.0000 0.0000 [4 per cell]  4 Ir 2.64, 4 Rh 2.64
Ir 0.0000 0.0000 0.5000 [4 per cell]  4 Rh 2.64, 4 Ir 2.64
Ir 0.2500 0.2500 0.2500 [4 per cell]  4 Cu 2.64, 4 Ir 2.64
Rh 0.2500 0.2500 0.7500 [4 per cell]  4 Cu 2.64, 4 Ir 2.64



--- z ---
DFT (PBE) results for a relaxed structure of CuIr2Rh.

## Properties
Density of states at the Fermi level in states/eV/cell: 9.4
Total moment in μB/cell: 0.000

a b c (Å): 2.7275 4.5648 9.1632
angles (deg): 90.00 90.00 90.00
With the nearest neighbours (Å) after each atom.
Space group Imm2 (No. 44)
Symmetry-distinct sites (fractional):
Cu 0.0000 0.0000 0.0000 [2 per cell]  6 Ir 2.66-2.69, 2 Rh 2.71, 2 Cu 2.73
Ir 0.0000 0.0000 0.5049 [2 per cell]  4 Ir 2.60-2.73, 2 Rh 2.66, 4 Cu 2.66
Ir 0.0000 0.5000 0.2470 [2 per cell]  4 Ir 2.60-2.73, 4 Rh 2.66, 2 Cu 2.69
Rh 0.0000 0.5000 0.7560 [2 per cell]  6 Ir 2.66, 2 Cu 2.71, 2 Rh 2.73



Relative calculated energies, zero for the most stable structure, unit meV/atom: w 59; x 0; y 278; z 189.



--- w ---
DFT (PBE) results for a relaxed structure of CuIr2Rh2.

## Properties
Density of states at the Fermi level in states/eV/cell: 12.9
Total moment in μB/cell: 0.000

a b c (Å): 7.5255 7.5255 2.7297
angles (deg): 90.00 90.00 90.00
With the nearest neighbours (Å) after each atom.
Space group P4/mbm (No. 127)
Symmetry-distinct sites (fractional):
Cu 0.0000 0.0000 0.0000 [2 per cell]  2 Cu 2.73, 4 Ir 2.99
Ir 0.1218 0.3782 0.0000 [4 per cell]  6 Rh 2.55-2.66, 3 Ir 2.59-2.73
Rh 0.1761 0.6761 0.5000 [4 per cell]  6 Ir 2.55-2.66, 2 Rh 2.73



--- x ---
DFT (PBE) results for a relaxed structure of CuIr2Rh2.

## Properties
Density of states at the Fermi level in states/eV/cell: 20.1
Total moment in μB/cell: 0.000

a b c (Å): 7.5355 7.5355 2.7119
angles (deg): 90.00 90.00 90.00
With the nearest neighbours (Å) after each atom.
Space group P4/mbm (No. 127)
Symmetry-distinct sites (fractional):
Cu 0.0000 0.0000 0.0000 [2 per cell]  2 Cu 2.71, 4 Rh 2.99
Ir 0.1755 0.3245 0.5000 [4 per cell]  6 Rh 2.55-2.65, 2 Ir 2.71
Rh 0.1220 0.6220 0.0000 [4 per cell]  6 Ir 2.55-2.65, 3 Rh 2.60-2.71



Relative calculated energies, zero for the most stable structure, unit meV/atom: w 0; x 40.



--- w ---
DFT (PBE) results for a relaxed structure of CuIr2Rh2.

## Properties
Density of states at the Fermi level in states/eV/cell: 9.3
Total moment in μB/cell: 0.000

a b c (Å): 3.5990 3.5990 12.4837
angles (deg): 90.00 90.00 90.00
With the nearest neighbours (Å) after each atom.
Space group I4/mmm (No. 139)
Symmetry-distinct sites (fractional):
Cu 0.0000 0.0000 0.0000 [2 per cell]  8 Rh 2.82
Ir 0.0000 0.5000 0.2500 [4 per cell]  4 Ir 2.54, 4 Rh 2.61
Rh 0.0000 0.0000 0.4018 [4 per cell]  1 Rh 2.45, 4 Ir 2.61



--- x ---
DFT (PBE) results for a relaxed structure of CuIr2Rh2.

## Properties
Density of states at the Fermi level in states/eV/cell: 6.1
Total moment in μB/cell: 0.000

a b c (Å): 2.7199 2.7199 10.9803
angles (deg): 90.00 90.00 120.00
With the nearest neighbours (Å) after each atom.
Space group P-3m1 (No. 164)
Symmetry-distinct sites (fractional):
Cu 0.0000 0.0000 0.0000 [1 per cell]  6 Rh 2.65, 6 Cu 2.72
Ir 0.3333 0.6667 0.3980 [2 per cell]  9 Ir 2.72-2.74, 3 Rh 2.73
Rh 0.3333 0.6667 0.8050 [2 per cell]  3 Cu 2.65, 6 Rh 2.72, 3 Ir 2.73



--- y ---
DFT (PBE) results for a relaxed structure of CuIr2Rh2.

## Properties
Density of states at the Fermi level in states/eV/cell: 11.3
Total moment in μB/cell: 0.000

a b c (Å): 3.5895 3.5895 12.3713
angles (deg): 90.00 90.00 90.00
With the nearest neighbours (Å) after each atom.
Space group I4/mmm (No. 139)
Symmetry-distinct sites (fractional):
Cu 0.0000 0.0000 0.0000 [2 per cell]  8 Ir 2.81
Ir 0.0000 0.0000 0.4024 [4 per cell]  1 Ir 2.41, 4 Rh 2.60
Rh 0.0000 0.5000 0.2500 [4 per cell]  4 Rh 2.54, 4 Ir 2.60



Relative calculated energies, zero for the most stable structure, unit meV/atom: w 446; x 0; y 477.



--- w ---
DFT (PBE) results for a relaxed structure of Cu2Ir2Rh7.

## Properties
Density of states at the Fermi level in states/eV/cell: 33.0
Total moment in μB/cell: 0.000

a b c (Å): 9.2808 7.8834 4.6560
angles (deg): 90.00 100.96 90.00
With the nearest neighbours (Å) after each atom.
Space group C2/m (No. 12)
Symmetry-distinct sites (fractional):
Cu 0.0000 0.1900 0.0000 [4 per cell]  8 Rh 2.61-2.80, 2 Ir 2.74
Ir 0.0429 0.5000 0.2693 [4 per cell]  2 Ir 2.43-2.48, 3 Rh 2.56-2.72
Rh 0.0000 0.0000 0.5000 [2 per cell]  6 Rh 2.59-2.73, 4 Cu 2.77
Rh 0.2264 0.1765 0.7426 [8 per cell]  1 Ir 2.56, 7 Rh 2.57-2.78, 2 Cu 2.61-2.80
Rh 0.2421 0.0000 0.2448 [4 per cell]  7 Rh 2.57-2.73, 2 Ir 2.72-2.77, 2 Cu 2.76



--- x ---
DFT (PBE) results for a relaxed structure of Cu2Ir2Rh7.

## Properties
Density of states at the Fermi level in states/eV/cell: 33.1
Total moment in μB/cell: 0.002

a b c (Å): 8.7261 9.0870 4.9481
angles (deg): 90.00 122.29 90.00
With the nearest neighbours (Å) after each atom.
Space group C2/m (No. 12)
Symmetry-distinct sites (fractional):
Cu 0.0000 0.1410 0.0000 [4 per cell]  1 Cu 2.56, 6 Rh 2.60-2.85, 2 Ir 2.73
Ir 0.2084 0.5000 0.5070 [4 per cell]  8 Rh 2.52-2.81, 2 Cu 2.73
Rh 0.0000 0.0000 0.5000 [2 per cell]  2 Ir 2.56, 4 Rh 2.58, 4 Cu 2.79
Rh 0.1319 0.5000 0.9311 [4 per cell]  3 Ir 2.52-2.58, 5 Rh 2.73-2.79
Rh 0.1782 0.2435 0.6926 [8 per cell]  2 Ir 2.57-2.81, 6 Rh 2.58-2.79, 2 Cu 2.60-2.85



Relative calculated energies, zero for the most stable structure, unit meV/atom: w 59; x 0.



--- w ---
DFT (PBE) results for a relaxed structure of CuIr2Rh8.

## Properties
Density of states at the Fermi level in states/eV/cell: 32.1
Total moment in μB/cell: 0.000

a b c (Å): 6.8029 12.0039 4.6590
angles (deg): 90.00 119.42 90.00
With the nearest neighbours (Å) after each atom.
Space group C2/m (No. 12)
Symmetry-distinct sites (fractional):
Cu 0.0000 0.0000 0.0000 [2 per cell]  4 Rh 2.49-2.54
Ir 0.0000 0.3057 0.5000 [4 per cell]  8 Rh 2.55-2.65
Rh 0.0000 0.2120 0.0000 [4 per cell]  1 Cu 2.54, 2 Ir 2.59, 2 Rh 2.77
Rh 0.0882 0.5000 0.8076 [4 per cell]  1 Cu 2.49, 6 Rh 2.51-2.66, 2 Ir 2.65
Rh 0.2135 0.1147 0.6465 [8 per cell]  5 Rh 2.53-2.77, 2 Ir 2.55-2.62



--- x ---
DFT (PBE) results for a relaxed structure of CuIr2Rh8.

## Properties
Density of states at the Fermi level in states/eV/cell: 42.1
Total moment in μB/cell: 0.000

a b c (Å): 7.9210 9.9902 4.2037
angles (deg): 90.00 90.00 90.00
With the nearest neighbours (Å) after each atom.
Space group Cmmm (No. 65)
Symmetry-distinct sites (fractional):
Cu 0.0000 0.0000 0.0000 [2 per cell]  4 Rh 2.43-2.62
Ir 0.0000 0.3752 0.5000 [4 per cell]  6 Rh 2.48-2.75, 1 Ir 2.49
Rh 0.0000 0.2431 0.0000 [4 per cell]  1 Cu 2.43, 2 Ir 2.48, 4 Rh 2.71
Rh 0.1660 0.1337 0.5000 [8 per cell]  7 Rh 2.63-2.81, 2 Ir 2.65-2.75, 2 Cu 2.82
Rh 0.1696 0.5000 0.0000 [4 per cell]  1 Cu 2.62, 7 Rh 2.69-2.90, 4 Ir 2.79



Relative calculated energies, zero for the most stable structure, unit meV/atom: w 0; x 7.